## 1
DFT (PBE) results for crystalline PmAlZnPd at its relaxed geometry.

Properties
The volume is 307.8 Å³ per cell. The calculation puts the total moment at 0.00 μB/f.u.

a = 6.752 Å, b = 6.752 Å, c = 6.752 Å
α = 90.00°, β = 90.00°, γ = 90.00°
Space group F-43m (No. 216)
Symmetry-distinct sites (fractional):
1 Pm 0.000 0.000 0.000 x4
2 Al 0.000 0.000 0.500 x4
3 Zn 0.250 0.250 0.250 x4
4 Pd 0.250 0.250 0.750 x4



## 2
DFT (PBE) results for crystalline PmAlZnPd at its relaxed geometry.

Properties
The volume is 245.1 Å³ per cell. The calculation puts the total moment at 0.00 μB/f.u.

a = 4.4834 Å, b = 4.4834 Å, c = 14.0755 Å
α = 90.00°, β = 90.00°, γ = 120.00°
Space group R3m (No. 160, hexagonal axes)
Symmetry-distinct sites (fractional):
1 Pm 0.0000 0.0000 0.0000 x3
2 Al 0.0000 0.0000 0.5279 x3
3 Zn 0.0000 0.0000 0.7865 x3
4 Pd 0.0000 0.0000 0.2019 x3



Which one sits at the bottom of the stability order? 1 does.



## 1
DFT (PBE) results for crystalline PrAlPd4 at its relaxed geometry.

Properties
The volume is 113.0 Å³ per cell. The calculation puts the total moment at 0.00 μB/f.u.

a = 4.341 Å, b = 5.276 Å, c = 5.487 Å
α = 98.70°, β = 90.11°, γ = 114.28°
Space group P-1 (No. 2)
Symmetry-distinct sites (fractional):
1 Pr 0.000 0.000 0.000 x1
2 Al 0.500 0.000 0.500 x1
3 Pd 0.161 0.321 0.546 x2
4 Pd 0.311 0.623 0.128 x2



## 2
DFT (PBE) results for crystalline PrAlPd4 at its relaxed geometry.

Properties
The volume is 443.1 Å³ per cell. The calculation puts the total moment at 0.00 μB/f.u.

a = 7.624 Å, b = 7.624 Å, c = 7.624 Å
α = 90.00°, β = 90.00°, γ = 90.00°
Space group F-43m (No. 216)
Symmetry-distinct sites (fractional):
1 Pr 0.000 0.000 0.000 x4
2 Al 0.250 0.250 0.750 x4
3 Pd 0.124 0.124 0.376 x16



Which one sits at the bottom of the stability order? 2 does.